# Cs2BiAsF6 (GGA-PBE, relaxed)
data_Cs2BiAsF6
_chemical_formula_sum 'Cs2 Bi1 As1 F6'
_space_group_name_H-M_alt 'P 1'
_space_group_IT_number 1
_cell_length_a 7.534
_cell_length_b 7.534
_cell_length_c 7.534
_cell_angle_alpha 130.65
_cell_angle_beta 130.65
_cell_angle_gamma 72.37
loop_
_space_group_symop_operation_xyz
'x,y,z'
loop_
_atom_site_label
_atom_site_fract_x
_atom_site_fract_y
_atom_site_fract_z
Cs1 0.250 0.750 0.500
Cs2 0.750 0.250 0.500
Bi1 0.000 0.000 0.000
As1 0.500 0.500 0.000
F1 0.185 0.185 0.000
F2 0.256 0.256 0.511
F3 0.256 0.744 0.000
F4 0.744 0.256 0.000
F5 0.744 0.744 0.489
F6 0.815 0.815 0.000
# E: -4.316 eV per atom
# space group: No. 139
# crystal system: tetragonal



# CsBi2AsH (GGA-PBE, relaxed)
data_CsBi2AsH
_chemical_formula_sum 'Cs1 Bi2 As1 H1'
_space_group_name_H-M_alt 'P 1'
_space_group_IT_number 1
_cell_length_a 7.774
_cell_length_b 7.774
_cell_length_c 7.755
_cell_angle_alpha 90.00
_cell_angle_beta 90.00
_cell_angle_gamma 90.00
loop_
_space_group_symop_operation_xyz
'x,y,z'
loop_
_atom_site_label
_atom_site_fract_x
_atom_site_fract_y
_atom_site_fract_z
Cs1 0.000 0.000 0.000
Bi1 0.000 0.500 0.000
Bi2 0.500 0.000 0.000
As1 0.000 0.000 0.500
H1 0.500 0.500 0.500
# E: -1.638 eV per atom
# space group: No. 123
# crystal system: tetragonal



# Cs2HgBiAs (GGA-PBE, relaxed)
data_Cs2HgBiAs
_chemical_formula_sum 'Cs2 Hg1 Bi1 As1'
_space_group_name_H-M_alt 'P 1'
_space_group_IT_number 1
_cell_length_a 7.116
_cell_length_b 7.116
_cell_length_c 5.480
_cell_angle_alpha 90.00
_cell_angle_beta 90.00
_cell_angle_gamma 90.00
loop_
_space_group_symop_operation_xyz
'x,y,z'
loop_
_atom_site_label
_atom_site_fract_x
_atom_site_fract_y
_atom_site_fract_z
Cs1 0.000 0.500 0.000
Cs2 0.500 0.000 0.000
Hg1 0.000 0.000 0.500
Bi1 0.500 0.500 0.500
As1 0.500 0.500 0.000
# formation enthalpy at 0 K: -132 meV per atom
# E: -2.240 eV per atom
# space group: No. 123
# crystal system: tetragonal



# Cs2In2Bi2As (GGA-PBE, relaxed)
data_Cs2In2Bi2As
_chemical_formula_sum 'Cs2 In2 Bi2 As1'
_space_group_name_H-M_alt 'P 1'
_space_group_IT_number 1
_cell_length_a 4.853
_cell_length_b 8.013
_cell_length_c 9.521
_cell_angle_alpha 102.48
_cell_angle_beta 104.75
_cell_angle_gamma 106.94
loop_
_space_group_symop_operation_xyz
'x,y,z'
loop_
_atom_site_label
_atom_site_fract_x
_atom_site_fract_y
_atom_site_fract_z
Cs1 0.229 0.191 0.256
Cs2 0.771 0.809 0.744
In1 0.022 0.333 0.706
In2 0.978 0.667 0.294
Bi1 0.357 0.644 0.074
Bi2 0.643 0.356 0.926
As1 0.000 0.500 0.500
# formation enthalpy at 0 K: -167 meV per atom
# E: -2.967 eV per atom
# space group: No. 2
# crystal system: triclinic



# CsBiAsIr2 (GGA-PBE, relaxed)
data_CsBiAsIr2
_chemical_formula_sum 'Cs1 Bi1 As1 Ir2'
_space_group_name_H-M_alt 'P 1'
_space_group_IT_number 1
_cell_length_a 4.719
_cell_length_b 4.719
_cell_length_c 6.134
_cell_angle_alpha 90.00
_cell_angle_beta 90.00
_cell_angle_gamma 90.00
loop_
_space_group_symop_operation_xyz
'x,y,z'
loop_
_atom_site_label
_atom_site_fract_x
_atom_site_fract_y
_atom_site_fract_z
Cs1 0.000 0.000 0.000
Bi1 0.500 0.500 0.000
As1 0.000 0.000 0.500
Ir1 0.000 0.500 0.500
Ir2 0.500 0.000 0.500
# formation enthalpy at 0 K: 980 meV per atom
# E: -4.441 eV per atom
# space group: No. 123
# crystal system: tetragonal



# CsMgBiAs (GGA-PBE, relaxed)
data_CsMgBiAs
_chemical_formula_sum 'Cs2 Mg2 Bi2 As2'
_space_group_name_H-M_alt 'P 1'
_space_group_IT_number 1
_cell_length_a 4.507
_cell_length_b 4.507
_cell_length_c 14.544
_cell_angle_alpha 90.00
_cell_angle_beta 90.00
_cell_angle_gamma 90.00
loop_
_space_group_symop_operation_xyz
'x,y,z'
loop_
_atom_site_label
_atom_site_fract_x
_atom_site_fract_y
_atom_site_fract_z
Cs1 0.250 0.250 0.243
Cs2 0.750 0.750 0.757
Mg1 0.250 0.750 0.000
Mg2 0.750 0.250 0.000
Bi1 0.250 0.750 0.500
Bi2 0.750 0.250 0.500
As1 0.250 0.250 0.897
As2 0.750 0.750 0.103
# formation enthalpy at 0 K: -454 meV per atom
# E: -3.199 eV per atom
# space group: No. 129
# crystal system: tetragonal



Number 1: V 24.1 A^3/atom. Number 2: V 93.7 A^3/atom. Number 3: V 55.5 A^3/atom. Number 4: V 46.5 A^3/atom. Number 5: V 27.3 A^3/atom. Number 6: V 36.9 A^3/atom.